Entry 1:
Below is a geometry-optimized RbIn4Se7 structure, with properties calculated at the PBE level.

Lattice parameters (Å, degrees): 16.563 6.944 6.708 90.00 90.00 90.00
Fractional positions:
Rb: 0.000 0.185 0.000
Rb: 0.500 0.815 0.500
In: 0.120 0.668 0.616
In: 0.250 0.183 0.599
In: 0.250 0.817 0.099
In: 0.380 0.332 0.116
In: 0.620 0.332 0.116
In: 0.750 0.183 0.599
In: 0.750 0.817 0.099
In: 0.880 0.668 0.616
Se: 0.000 0.865 0.459
Se: 0.109 0.687 0.005
Se: 0.110 0.311 0.493
Se: 0.239 0.189 0.000
Se: 0.261 0.811 0.500
Se: 0.390 0.689 0.993
Se: 0.391 0.313 0.505
Se: 0.500 0.135 0.959
Se: 0.609 0.313 0.505
Se: 0.610 0.689 0.993
Se: 0.739 0.811 0.500
Se: 0.761 0.189 0.000
Se: 0.890 0.311 0.493
Se: 0.891 0.687 0.005

## Properties
ΔE_f (raw)	-0.58	eV/atom
symmetry	Pmn2_1, No. 31
M_tot	0.9	μB per formula unit
mass density	4.724	g cm⁻³
final energy	-3.611	eV/atom
Fermi-level density of states	18.96	states/eV per cell


Entry 2:
Below is a geometry-optimized RbInSe2 structure, with properties calculated at the PBE level.

Lattice parameters (Å, degrees): 9.272 10.985 6.918 90.00 122.85 90.00
Fractional positions:
Rb: 0.000 0.123 0.250
Rb: 0.000 0.877 0.750
Rb: 0.500 0.377 0.750
Rb: 0.500 0.623 0.250
In: 0.000 0.489 0.750
In: 0.000 0.511 0.250
In: 0.500 0.011 0.250
In: 0.500 0.989 0.750
Se: 0.190 0.379 0.150
Se: 0.190 0.621 0.650
Se: 0.310 0.121 0.850
Se: 0.310 0.879 0.350
Se: 0.690 0.121 0.650
Se: 0.690 0.879 0.150
Se: 0.810 0.379 0.350
Se: 0.810 0.621 0.850

## Properties
ΔE_f (raw)	-0.90	eV/atom
symmetry	C2/c, No. 15
M_tot	0.0	μB per formula unit
mass density	4.019	g cm⁻³
final energy	-3.567	eV/atom
Fermi-level density of states	0.00	states/eV per cell


Entry 3:
Below is a geometry-optimized RbIn2Se2 structure, with properties calculated at the PBE level.

Lattice parameters (Å, degrees): 8.314 8.314 6.954 112.17 112.17 108.64
Fractional positions:
Rb: 0.225 0.775 0.000
Rb: 0.775 0.225 0.000
In: 0.246 0.246 0.711
In: 0.380 0.620 0.500
In: 0.620 0.380 0.500
In: 0.754 0.754 0.289
Se: 0.182 0.818 0.500
Se: 0.227 0.227 0.117
Se: 0.773 0.773 0.883
Se: 0.818 0.182 0.500

## Properties
ΔE_f (raw)	-0.48	eV/atom
symmetry	C2/m, No. 12
M_tot	0.0	μB per formula unit
mass density	4.524	g cm⁻³
relative energy among the computed polymorphs	132	meV/atom
final energy	-3.163	eV/atom
Fermi-level density of states	4.85	states/eV per cell


Entry 4:
Below is a geometry-optimized RbInSe2 structure, with properties calculated at the PBE level.

Lattice parameters (Å, degrees): 8.305 8.305 16.579 97.21 97.21 90.00
Fractional positions:
Rb: 0.152 0.778 0.609
Rb: 0.221 0.346 0.885
Rb: 0.222 0.848 0.891
Rb: 0.346 0.221 0.385
Rb: 0.654 0.779 0.615
Rb: 0.778 0.152 0.109
Rb: 0.779 0.654 0.115
Rb: 0.848 0.222 0.391
In: 0.087 0.710 0.339
In: 0.290 0.417 0.161
In: 0.290 0.913 0.161
In: 0.417 0.290 0.661
In: 0.583 0.710 0.339
In: 0.710 0.087 0.839
In: 0.710 0.583 0.839
In: 0.913 0.290 0.661
Se: 0.050 0.425 0.250
Se: 0.050 0.950 0.250
Se: 0.141 0.266 0.563
Se: 0.265 0.640 0.062
Se: 0.266 0.141 0.063
Se: 0.360 0.735 0.438
Se: 0.425 0.050 0.750
Se: 0.425 0.575 0.750
Se: 0.575 0.425 0.250
Se: 0.575 0.950 0.250
Se: 0.640 0.265 0.562
Se: 0.734 0.859 0.937
Se: 0.735 0.360 0.938
Se: 0.859 0.734 0.437
Se: 0.950 0.050 0.750
Se: 0.950 0.575 0.750

## Properties
ΔE_f (raw)	-0.93	eV/atom
symmetry	C2/c, No. 15
M_tot	0.0	μB per formula unit
mass density	4.228	g cm⁻³
final energy	-3.596	eV/atom


Entry 5:
Below is a geometry-optimized RbIn2Se2 structure, with properties calculated at the PBE level.

Lattice parameters (Å, degrees): 8.745 8.745 3.975 90.00 90.00 90.00
Fractional positions:
Rb: 0.000 0.000 0.000
Rb: 0.500 0.500 0.000
In: 0.131 0.369 0.500
In: 0.369 0.869 0.500
In: 0.631 0.131 0.500
In: 0.869 0.631 0.500
Se: 0.150 0.650 0.000
Se: 0.350 0.150 0.000
Se: 0.650 0.850 0.000
Se: 0.850 0.350 0.000

## Properties
ΔE_f (raw)	-0.42	eV/atom
symmetry	P4/mbm, No. 127
M_tot	0.0	μB per formula unit
mass density	5.167	g cm⁻³
relative energy among the computed polymorphs	195	meV/atom
final energy	-3.100	eV/atom
Fermi-level density of states	6.03	states/eV per cell


Entry 6:
Below is a geometry-optimized Rb2InSe structure, with properties calculated at the PBE level.

Lattice parameters (Å, degrees): 8.514 8.514 8.514 90.00 90.00 90.00
Fractional positions:
Rb: 0.250 0.250 0.250
Rb: 0.250 0.250 0.750
Rb: 0.250 0.750 0.250
Rb: 0.250 0.750 0.750
Rb: 0.750 0.250 0.250
Rb: 0.750 0.250 0.750
Rb: 0.750 0.750 0.250
Rb: 0.750 0.750 0.750
In: 0.000 0.000 0.000
In: 0.000 0.500 0.500
In: 0.500 0.000 0.500
In: 0.500 0.500 0.000
Se: 0.000 0.000 0.500
Se: 0.000 0.500 0.000
Se: 0.500 0.000 0.000
Se: 0.500 0.500 0.500

## Properties
ΔE_f (raw)	-0.33	eV/atom
symmetry	Fm-3m, No. 225
M_tot	0.0	μB per formula unit
mass density	3.925	g cm⁻³
relative energy among the computed polymorphs	25	meV/atom
final energy	-2.372	eV/atom
Fermi-level density of states	7.71	states/eV per cell